A geometry-optimized Ba4Ta5 structure. Source: Alexandria, functional GGA-PBE.

Properties
Polymorph energy (0 for the lowest one) ... 553 meV/atom
DFT total energy ... -6.0741 eV per atom
Formation energy from the elements ... 1.3653 eV per atom

a b c (Å): 10.3328 10.3328 5.5259
angles (deg): 90.00 90.00 120.00
Space group P6_3/mcm (No. 193)
Symmetry-distinct sites (fractional):
Ba (0.0000, 0.0000, 0.0000) [2 per cell]
Ba (0.0000, 0.2865, 0.2500) [6 per cell]
Ta (0.0000, 0.4448, 0.7500) [6 per cell]
Ta (0.3333, 0.6667, 0.0000) [4 per cell]

A geometry-optimized Ho3AlN structure. Source: Alexandria, functional GGA-PBE.

Properties
Formation energy without anion corrections ... -0.93 eV per atom
DFT total energy ... -6.0932 eV per atom

a b c (Å): 4.7455 4.7455 4.7455
angles (deg): 90.00 90.00 90.00
Space group Pm-3m (No. 221)
Symmetry-distinct sites (fractional):
Ho (0.0000, 0.0000, 0.5000) [3 per cell]
Al (0.5000, 0.5000, 0.5000) [1 per cell]
N (0.0000, 0.0000, 0.0000) [1 per cell]

A geometry-optimized Os3CCl structure. Source: Alexandria, functional GGA-PBE.

Properties
Formation energy without anion corrections ... 1.48 eV per atom
Polymorph energy (0 for the lowest one) ... 0 meV/atom
DFT total energy ... -7.4756 eV per atom

a b c (Å): 4.1327 4.1327 4.1327
angles (deg): 90.00 90.00 90.00
Space group Pm-3m (No. 221)
Symmetry-distinct sites (fractional):
Os (0.0000, 0.0000, 0.5000) [3 per cell]
C (0.0000, 0.0000, 0.0000) [1 per cell]
Cl (0.5000, 0.5000, 0.5000) [1 per cell]

A geometry-optimized TaTi2Si structure. Source: Alexandria, functional GGA-PBE.

Properties
Formation energy without anion corrections ... -0.10 eV per atom
DFT total energy ... -8.3659 eV per atom

a b c (Å): 2.9717 2.9717 26.4413
angles (deg): 90.00 90.00 120.00
Space group R-3m (No. 166, hexagonal axes)
Symmetry-distinct sites (fractional):
Ta (0.0000, 0.0000, 0.0000) [3 per cell]
Ti (0.0000, 0.0000, 0.2453) [6 per cell]
Si (0.0000, 0.0000, 0.5000) [3 per cell]

What did the second record say?
A geometry-optimized Ho3AlN structure. Source: Alexandria, functional GGA-PBE.

Properties
Formation energy without anion corrections ... -0.93 eV per atom
DFT total energy ... -6.0932 eV per atom

a b c (Å): 4.7455 4.7455 4.7455
angles (deg): 90.00 90.00 90.00
Space group Pm-3m (No. 221)
Symmetry-distinct sites (fractional):
Ho (0.0000, 0.0000, 0.5000) [3 per cell]
Al (0.5000, 0.5000, 0.5000) [1 per cell]
N (0.0000, 0.0000, 0.0000) [1 per cell]

What is the formula in the fourth record?
TaTi2Si

The highest DFT total energy belongs to which entry?
Ba4Ta5

What is the DFT total energy in the fourth record?
-8.3659 eV per atom